Material: BeCuCl2
Method: DFT, PBE
State: relaxed

The structure in POSCAR format:
```
BeCuCl2
1.0
3.031 0.000 0.000
0.000 3.031 0.000
0.000 0.000 7.768
Be Cu Cl
1 1 2
direct
0.000 0.000 0.000
0.500 0.500 0.800
0.000 0.000 0.619
0.500 0.500 0.165
```

Results
E_tot (eV per cell): -11.439
ΔE_f (raw) (meV per atom): 19
V (Å³/f.u.): 71.3

---

Material: Er3Sn2Pt
Method: DFT, PBE
State: relaxed

The structure in POSCAR format:
```
Er3Sn2Pt
1.0
12.086 0.000 0.000
0.000 4.475 0.000
0.000 0.000 11.452
Er Sn Pt
12 8 4
direct
0.054 0.250 0.128
0.122 0.750 0.553
0.237 0.250 0.798
0.263 0.750 0.298
0.378 0.250 0.053
0.446 0.750 0.628
0.554 0.250 0.372
0.622 0.750 0.947
0.737 0.250 0.702
0.763 0.750 0.202
0.878 0.250 0.447
0.946 0.750 0.872
0.003 0.250 0.695
0.186 0.750 0.006
0.314 0.250 0.506
0.497 0.750 0.195
0.503 0.250 0.805
0.686 0.750 0.494
0.814 0.250 0.994
0.997 0.750 0.305
0.122 0.250 0.372
0.378 0.750 0.872
0.622 0.250 0.128
0.878 0.750 0.628
```

Results
E_tot (eV per cell): -132.118
ΔE_f (eV per atom): -0.88
V (Å³/f.u.): 154.8

---

Material: La2AgTe
Method: DFT, PBE
State: relaxed

The structure in POSCAR format:
```
La2AgTe
1.0
2.163 1.249 8.407
-2.163 1.249 8.407
0.000 -2.498 8.407
La Ag Te
2 1 1
direct
0.000 0.000 0.000
0.213 0.213 0.213
0.742 0.742 0.742
0.464 0.464 0.464
```

Results
E_tot (eV per cell): -17.367
ΔE_f (raw) (meV per atom): -380
V (Å³/f.u.): 136.3

---

Question: Which formula does entry 1 have?
Answer: BeCuCl2

---

Question: Among the records above, which one has the lowest V?
Answer: BeCuCl2

---

Question: What is the formula in the second record?
Answer: Er3Sn2Pt

---

Question: Among the records above, which one has the lowest E_tot?
Answer: Er3Sn2Pt